(1)
DFT (SCAN) results for a crystal of AgIr relaxed with PBEsol.

Properties
The value obtained for the formation energy is 0.505 eV per atom. As for the space group: P6_3mc (186). The value obtained for the calculated density is 15.7 Mg/m³. The spin magnetization is 0.36 μB/atom.

abc: 2.684 2.684 10.158
angles: 90.00 90.00 120.00
Atoms (fractional coordinates):
1 Ag 0.333 0.667 0.000
2 Ag 0.667 0.333 0.500
3 Ir 0.333 0.667 0.736
4 Ir 0.667 0.333 0.236


(2)
DFT (SCAN) results for a crystal of KAgIr2 relaxed with PBEsol.

Properties
The value obtained for the formation energy is 0.617 eV per atom. As for the space group: Cmmm (65). The value obtained for the calculated density is 13.1 Mg/m³. The spin magnetization is 0.00 μB/atom. The distance to the lowest polymorph of the same formula comes out at 0.261 eV/atom.

abc: 2.710 2.710 10.393
angles: 90.00 90.00 118.37
Atoms (fractional coordinates):
1 K 0.000 0.000 0.000
2 Ag 0.000 0.000 0.500
3 Ir 0.500 0.500 0.268
4 Ir 0.500 0.500 0.732


(3)
DFT (SCAN) results for a crystal of KAgIr2 relaxed with PBEsol.

Properties
The value obtained for the formation energy is 0.356 eV per atom. As for the space group: Pmm2 (25). The value obtained for the calculated density is 10.8 Mg/m³. The spin magnetization is 0.00 μB/atom. The distance to the lowest polymorph of the same formula comes out at 0.000 eV/atom.

abc: 2.755 3.841 7.723
angles: 90.00 90.00 90.00
Atoms (fractional coordinates):
1 K 0.000 0.000 0.000
2 Ag 0.500 0.500 0.325
3 Ir 0.000 0.000 0.558
4 Ir 0.500 0.500 0.677


(4)
DFT (SCAN) results for a crystal of KAgIr2 relaxed with PBEsol.

Properties
The value obtained for the formation energy is 1.065 eV per atom. As for the space group: I4/mmm (139). The value obtained for the calculated density is 12.5 Mg/m³. The spin magnetization is 0.00 μB/atom. The distance to the lowest polymorph of the same formula comes out at 0.709 eV/atom.

abc: 5.590 5.590 5.590
angles: 140.24 140.24 57.50
Atoms (fractional coordinates):
1 K 0.000 0.000 0.000
2 Ag 0.500 0.500 0.000
3 Ir 0.250 0.750 0.500
4 Ir 0.750 0.250 0.500


(5)
DFT (SCAN) results for a crystal of LaAg3Ir relaxed with PBEsol.

Properties
The value obtained for the formation energy is 2.071 eV per atom. As for the space group: Pm-3m (221). The value obtained for the calculated density is 8.0 Mg/m³. The spin magnetization is 0.47 μB/atom.

abc: 5.141 5.141 5.141
angles: 90.00 90.00 90.00
Atoms (fractional coordinates):
1 La 0.000 0.000 0.000
2 Ag 0.000 0.000 0.500
3 Ag 0.000 0.500 0.000
4 Ag 0.500 0.000 0.000
5 Ir 0.500 0.500 0.500


(6)
DFT (SCAN) results for a crystal of LaYAg2Ir relaxed with PBEsol.

Properties
The value obtained for the formation energy is 0.211 eV per atom. As for the space group: P4/mmm (123). The value obtained for the calculated density is 7.9 Mg/m³. The spin magnetization is 0.00 μB/atom.

abc: 5.166 5.166 4.989
angles: 90.00 90.00 90.00
Atoms (fractional coordinates):
1 La 0.000 0.000 0.000
2 Y 0.500 0.500 0.000
3 Ag 0.000 0.500 0.500
4 Ag 0.500 0.000 0.500
5 Ir 0.000 0.000 0.500


(7)
DFT (SCAN) results for a crystal of LaZnAg2Ir relaxed with PBEsol.

Properties
The value obtained for the formation energy is 0.677 eV per atom. As for the space group: P4/mmm (123). The value obtained for the calculated density is 8.9 Mg/m³. The spin magnetization is 0.00 μB/atom.

abc: 4.544 4.544 5.557
angles: 90.00 90.00 90.00
Atoms (fractional coordinates):
1 La 0.000 0.000 0.000
2 Zn 0.000 0.000 0.500
3 Ag 0.000 0.500 0.500
4 Ag 0.500 0.000 0.500
5 Ir 0.500 0.500 0.000


(8)
DFT (SCAN) results for a crystal of LiAg2Ir relaxed with PBEsol.

Properties
The value obtained for the formation energy is 0.098 eV per atom. As for the space group: Cm (8). The value obtained for the calculated density is 11.4 Mg/m³. The spin magnetization is 0.13 μB/atom.

abc: 4.853 4.853 4.887
angles: 97.96 97.96 31.92
Atoms (fractional coordinates):
1 Li 0.000 0.000 0.000
2 Ag 0.507 0.507 0.521
3 Ag 0.755 0.755 0.253
4 Ir 0.254 0.254 0.758


(9)
DFT (SCAN) results for a crystal of LiAgIr relaxed with PBEsol.

Properties
The value obtained for the formation energy is 0.737 eV per atom. As for the space group: F-43m (216). The value obtained for the calculated density is 11.6 Mg/m³. The spin magnetization is 0.00 μB/atom. The distance to the lowest polymorph of the same formula comes out at 0.641 eV/atom.

abc: 3.963 3.963 3.963
angles: 60.00 60.00 60.00
Atoms (fractional coordinates):
1 Li 0.000 0.000 0.000
2 Ag 0.750 0.750 0.750
3 Ir 0.250 0.250 0.250


(10)
DFT (SCAN) results for a crystal of LiAgIr2 relaxed with PBEsol.

Properties
The value obtained for the formation energy is 0.047 eV per atom. As for the space group: C2/m (12). The value obtained for the calculated density is 14.4 Mg/m³. The spin magnetization is 0.00 μB/atom.

abc: 5.372 5.372 2.665
angles: 103.72 103.72 121.22
Atoms (fractional coordinates):
1 Li 0.000 0.000 0.000
2 Ag 0.500 0.500 0.000
3 Ir 0.000 0.500 0.500
4 Ir 0.500 0.000 0.500


(11)
DFT (SCAN) results for a crystal of LiAg2Ir relaxed with PBEsol.

Properties
The value obtained for the formation energy is 0.565 eV per atom. As for the space group: I-42d (122). The value obtained for the calculated density is 10.7 Mg/m³. The spin magnetization is 0.00 μB/atom.

abc: 9.681 9.681 9.681
angles: 157.86 157.86 31.51
Atoms (fractional coordinates):
1 Li 0.000 0.000 0.000
2 Li 0.750 0.250 0.500
3 Ag 0.124 0.625 0.999
4 Ag 0.375 0.374 0.499
5 Ag 0.626 0.125 0.001
6 Ag 0.875 0.876 0.501
7 Ir 0.250 0.750 0.500
8 Ir 0.500 0.500 0.000


(12)
DFT (SCAN) results for a crystal of LiAgIr2 relaxed with PBEsol.

Properties
The value obtained for the formation energy is 0.260 eV per atom. As for the space group: Pmmm (47). The value obtained for the calculated density is 14.3 Mg/m³. The spin magnetization is 0.00 μB/atom.

abc: 2.610 4.264 5.196
angles: 90.00 90.00 90.00
Atoms (fractional coordinates):
1 Li 0.000 0.000 0.000
2 Ag 0.000 0.000 0.500
3 Ir 0.500 0.500 0.237
4 Ir 0.500 0.500 0.763


(13)
DFT (SCAN) results for a crystal of LiAgIr relaxed with PBEsol.

Properties
The value obtained for the formation energy is 0.096 eV per atom. As for the space group: P3m1 (156). The value obtained for the calculated density is 11.8 Mg/m³. The spin magnetization is 0.00 μB/atom. The distance to the lowest polymorph of the same formula comes out at 0.000 eV/atom.

abc: 4.427 4.427 2.548
angles: 90.00 90.00 120.00
Atoms (fractional coordinates):
1 Li 0.000 0.000 0.000
2 Ag 0.333 0.667 0.050
3 Ir 0.667 0.333 0.540


(14)
DFT (SCAN) results for a crystal of Li3AgIr relaxed with PBEsol.

Properties
The value obtained for the formation energy is 0.524 eV per atom. As for the space group: Pm-3m (221). The value obtained for the calculated density is 5.6 Mg/m³. The spin magnetization is 0.00 μB/atom.

abc: 4.559 4.559 4.559
angles: 90.00 90.00 90.00
Atoms (fractional coordinates):
1 Li 0.000 0.000 0.500
2 Li 0.000 0.500 0.000
3 Li 0.500 0.000 0.000
4 Ag 0.500 0.500 0.500
5 Ir 0.000 0.000 0.000


(15)
DFT (SCAN) results for a crystal of LiAg2IrS relaxed with PBEsol.

Properties
The formation energy from raw total energies comes out at 0.264 eV/atom. As for the space group: P4/mmm (123). The value obtained for the calculated density is 6.5 Mg/m³. The spin magnetization is 0.00 μB/atom.

abc: 5.185 5.185 4.255
angles: 90.00 90.00 90.00
Atoms (fractional coordinates):
1 Li 0.000 0.000 0.000
2 Ag 0.000 0.500 0.500
3 Ag 0.500 0.000 0.500
4 Ir 0.500 0.500 0.500
5 S 0.500 0.500 0.000


(16)
DFT (SCAN) results for a crystal of Lu2AgIr relaxed with PBEsol.

Properties
The value obtained for the formation energy is -0.850 eV per atom. As for the space group: Fm-3m (225). The value obtained for the calculated density is 13.9 Mg/m³. The spin magnetization is 0.00 μB/atom.

abc: 4.788 4.788 4.788
angles: 60.00 60.00 60.00
Atoms (fractional coordinates):
1 Lu 0.250 0.250 0.250
2 Lu 0.750 0.750 0.750
3 Ag 0.000 0.000 0.000
4 Ir 0.500 0.500 0.500


(17)
DFT (SCAN) results for a crystal of MgAgIr2 relaxed with PBEsol.

Properties
The value obtained for the formation energy is 0.141 eV per atom. As for the space group: Pmmm (47). The value obtained for the calculated density is 14.1 Mg/m³. The spin magnetization is 0.00 μB/atom.

abc: 2.729 4.126 5.398
angles: 90.00 90.00 90.00
Atoms (fractional coordinates):
1 Mg 0.000 0.000 0.000
2 Ag 0.000 0.000 0.500
3 Ir 0.500 0.500 0.240
4 Ir 0.500 0.500 0.760


(18)
DFT (SCAN) results for a crystal of MgAgIr2 relaxed with PBEsol.

Properties
The value obtained for the formation energy is -0.070 eV per atom. As for the space group: P4mm (99). The value obtained for the calculated density is 14.0 Mg/m³. The spin magnetization is 0.00 μB/atom.

abc: 2.768 2.768 8.023
angles: 90.00 90.00 90.00
Atoms (fractional coordinates):
1 Mg 0.000 0.000 0.000
2 Ag 0.500 0.500 0.270
3 Ir 0.000 0.000 0.533
4 Ir 0.500 0.500 0.752


(19)
DFT (SCAN) results for a crystal of MgAgIr2 relaxed with PBEsol.

Properties
The value obtained for the formation energy is 0.125 eV per atom. As for the space group: I4/mmm (139). The value obtained for the calculated density is 14.1 Mg/m³. The spin magnetization is 0.00 μB/atom.

abc: 4.997 4.997 4.997
angles: 135.31 135.31 65.05
Atoms (fractional coordinates):
1 Mg 0.000 0.000 0.000
2 Ag 0.500 0.500 0.000
3 Ir 0.250 0.750 0.500
4 Ir 0.750 0.250 0.500


(20)
DFT (SCAN) results for a crystal of MgAgIr2 relaxed with PBEsol.

Properties
The value obtained for the formation energy is 0.107 eV per atom. As for the space group: Imm2 (44). The value obtained for the calculated density is 13.8 Mg/m³. The spin magnetization is 0.00 μB/atom.

abc: 5.432 5.432 5.432
angles: 149.60 129.64 59.97
Atoms (fractional coordinates):
1 Mg 0.000 0.000 0.000
2 Ag 0.264 0.764 0.500
3 Ir 0.521 0.521 0.000
4 Ir 0.747 0.247 0.500